(1)
Below is a relaxed structure of Pr7Y2Mg, with properties calculated at the PBE level.

- crystal system = orthorhombic
- SG = Cmmm
- mass density (g/cm³) = 4.76
- E_form (eV/atom) = 0.58
- magnetic moment (μB/cell) = 0.0
- N(E_F) (states/eV/f.u.) = 14.87
- DFT total energy (Ha/atom) = -0.1548

Structure (extended XYZ):
```
10
Lattice="5.6567 0.0000 0.0000 0.0000 9.3638 -0.5536 0.0000 -4.7186 8.1069" Properties=species:S:1:pos:R:3 pbc="T T T"
Pr 0.0000 6.2994 1.3309
Pr 0.0000 -1.6542 6.2224
Pr 2.8283 -0.7040 2.2907
Pr 2.8283 5.3492 5.2626
Pr 2.8283 2.3619 0.4052
Pr 2.8283 2.2833 7.1481
Pr 2.8283 2.3226 3.7767
Y 2.8283 5.2472 1.9780
Y 2.8283 -0.6020 5.5753
Mg 0.0000 0.0000 0.0000
```



(2)
Below is a relaxed structure of Pr7Y12Mg, with properties calculated at the PBE level.

- crystal system = trigonal
- SG = R-3
- mass density (g/cm³) = 5.02
- E_form (eV/atom) = 0.20
- magnetic moment (μB/cell) = 0.0
- N(E_F) (states/eV/f.u.) = 32.94
- DFT total energy (Ha/atom) = -0.1998

Structure (extended XYZ):
```
20
Lattice="8.5261 1.3081 1.9634 -1.1143 8.5536 1.9634 -1.1143 -1.4826 8.6499" Properties=species:S:1:pos:R:3 pbc="T T T"
Pr 5.5478 4.9048 10.7666
Pr 3.1287 1.0209 2.2533
Pr 0.1107 0.8126 3.9034
Pr 3.1488 4.1895 6.2883
Pr 6.1869 7.5665 8.6733
Pr 3.1688 7.3582 10.3233
Pr 0.7498 3.4742 1.8100
Y 6.2298 2.1133 8.5518
Y 5.9998 3.0182 3.2181
Y 4.4981 1.2506 5.8045
Y 6.3470 4.8205 6.0327
Y 1.2308 0.4268 7.3326
Y 2.8656 2.7029 9.1869
Y 3.4320 5.6762 3.3898
Y 5.0667 7.9523 5.2441
Y -0.0494 3.5586 6.5439
Y 1.7995 7.1285 6.7722
Y 0.2977 5.3609 9.3585
Y 0.0677 6.2658 4.0248
Mg 0.0000 0.0000 0.0000
```



(3)
Below is a relaxed structure of Pr5YMg3, with properties calculated at the PBE level.

- crystal system = monoclinic
- SG = C2/m
- mass density (g/cm³) = 4.62
- E_form (eV/atom) = 0.34
- magnetic moment (μB/cell) = 0.0
- N(E_F) (states/eV/f.u.) = 13.03
- DFT total energy (Ha/atom) = -0.1309

Structure (extended XYZ):
```
18
Lattice="-3.8232 6.7735 1.9601 -7.8743 -0.4493 1.4606 0.8056 -1.2076 10.9297" Properties=species:S:1:pos:R:3 pbc="T T T"
Pr -6.2175 5.8681 5.4446
Pr -6.5418 1.9266 1.6249
Pr -8.8293 4.7485 2.9442
Pr -5.6673 2.7832 5.7190
Pr -5.2247 2.3335 8.6314
Pr -2.0627 0.3682 11.4063
Pr -8.5618 1.6883 5.1556
Pr -5.1558 4.3977 1.7958
Pr -4.6745 -0.7513 8.9058
Pr -2.3301 3.4284 9.1949
Y -0.6176 -0.2322 8.3676
Y -10.2743 5.3489 5.9828
Mg -7.0583 3.2073 10.8684
Mg -8.0635 3.9693 8.0011
Mg 0.0000 0.0000 0.0000
Mg 0.4028 -0.6038 5.4649
Mg -3.8337 1.9094 3.4820
Mg -2.8285 1.1474 6.3493
```



(4)
Below is a relaxed structure of Pr5YMg4, with properties calculated at the PBE level.

- crystal system = tetragonal
- SG = P4/mmm
- mass density (g/cm³) = 4.78
- E_form (eV/atom) = -0.08
- magnetic moment (μB/cell) = 0.0
- N(E_F) (states/eV/f.u.) = 10.96
- DFT total energy (Ha/atom) = -0.1380

Structure (extended XYZ):
```
10
Lattice="3.8672 0.0000 0.0000 0.0000 3.8672 0.0000 0.0000 0.0000 20.6995" Properties=species:S:1:pos:R:3 pbc="T T T"
Pr 1.9336 1.9336 2.4156
Pr 1.9336 1.9336 6.3879
Pr 1.9336 1.9336 10.3498
Pr 1.9336 1.9336 14.3117
Pr 1.9336 1.9336 18.2839
Y 0.0000 0.0000 0.0000
Mg 0.0000 0.0000 4.3916
Mg 0.0000 0.0000 8.3606
Mg 0.0000 0.0000 12.3390
Mg 0.0000 0.0000 16.3079
```



(5)
Below is a relaxed structure of PrY4Mg, with properties calculated at the PBE level.

- crystal system = monoclinic
- SG = C2/c
- mass density (g/cm³) = 4.58
- E_form (eV/atom) = 0.03
- magnetic moment (μB/cell) = 0.0
- N(E_F) (states/eV/f.u.) = 9.02
- energy relative to the lowest polymorph listed for this composition (meV per atom) = 44
- DFT total energy (Ha/atom) = -0.1965

Structure (extended XYZ):
```
12
Lattice="-1.3267 2.2194 5.5854 1.3722 -3.3265 4.9934 10.3256 4.6072 3.9140" Properties=species:S:1:pos:R:3 pbc="T T T"
Pr 4.4994 3.4133 4.7497
Pr 0.6861 -1.6632 2.4967
Y 7.5433 3.5462 6.5196
Y 5.8785 0.4444 6.2376
Y 4.4926 3.0556 8.2552
Y 2.8258 0.3275 4.4649
Y 7.5452 3.1726 10.0280
Y 11.0203 2.5545 9.9129
Y -0.6493 0.9456 4.5800
Y 2.8277 -0.0461 7.9733
Mg 1.4669 2.9351 6.5174
Mg 8.9042 0.5650 7.9755
```



(6)
Below is a relaxed structure of Pr7Y4Mg, with properties calculated at the PBE level.

- crystal system = monoclinic
- SG = C2/m
- mass density (g/cm³) = 5.41
- E_form (eV/atom) = 0.22
- magnetic moment (μB/cell) = 0.0
- N(E_F) (states/eV/f.u.) = 17.07
- DFT total energy (Ha/atom) = -0.1785

Structure (extended XYZ):
```
12
Lattice="5.6843 0.0000 1.5450 2.5696 5.7234 1.7754 -0.2884 -2.7295 12.2907" Properties=species:S:1:pos:R:3 pbc="T T T"
Pr 5.5414 0.3154 13.3004
Pr 2.4241 2.6784 2.3107
Pr 0.5466 -1.8240 9.2186
Pr 7.4189 4.8179 6.3925
Pr 4.0117 3.2062 7.6990
Pr 2.8422 0.0000 0.7725
Pr 3.9538 -0.2123 7.9121
Y 4.8913 2.6674 4.4627
Y 3.0742 0.3265 11.1485
Y 6.3705 1.8517 10.2500
Y 1.5950 1.1422 5.3611
Mg -0.2884 -2.7295 12.2907
```



(7)
Below is a relaxed structure of PrY2Mg5, with properties calculated at the PBE level.

- crystal system = tetragonal
- SG = I4/mmm
- mass density (g/cm³) = 3.41
- E_form (eV/atom) = -0.11
- magnetic moment (μB/cell) = 0.2
- N(E_F) (states/eV/f.u.) = 5.84
- DFT total energy (Ha/atom) = -0.1219

Structure (extended XYZ):
```
8
Lattice="-4.0025 -3.4505 -0.4338 3.4730 -3.9317 -0.7710 0.5239 2.4449 8.1238" Properties=species:S:1:pos:R:3 pbc="T T T"
Pr 0.0000 0.0000 0.0000
Y -0.1399 -4.2916 3.0220
Y 0.1343 -0.6456 3.8970
Mg -0.2648 -3.6911 -0.6024
Mg -1.8055 -2.6669 5.4667
Mg 1.9323 -2.9075 5.2981
Mg 1.7998 -2.2703 1.4523
Mg -1.9379 -2.0297 1.6209
```



(8)
Below is a relaxed structure of PrY2Mg4, with properties calculated at the PBE level.

- crystal system = tetragonal
- SG = I4/mmm
- mass density (g/cm³) = 3.20
- E_form (eV/atom) = 0.12
- magnetic moment (μB/cell) = 0.4
- N(E_F) (states/eV/f.u.) = 6.45
- DFT total energy (Ha/atom) = -0.1221

Structure (extended XYZ):
```
7
Lattice="-3.2785 -1.2709 -4.0985 -2.8821 -3.1689 3.2882 -1.2775 7.9551 2.1126" Properties=species:S:1:pos:R:3 pbc="T T T"
Pr 0.0000 0.0000 0.0000
Y -5.2474 0.6321 0.4440
Y -2.1907 2.8831 0.8584
Mg -4.7481 2.7678 2.9399
Mg -4.9462 3.7168 -0.7535
Mg -2.6900 0.7475 -1.6375
Mg -2.4919 -0.2016 2.0558
```



(9)
Below is a relaxed structure of PrYMgZn, with properties calculated at the PBE level.

- crystal system = tetragonal
- SG = P4mm
- mass density (g/cm³) = 5.00
- E_form (eV/atom) = -0.22
- magnetic moment (μB/cell) = 0.0
- N(E_F) (states/eV/f.u.) = 4.58
- energy relative to the lowest polymorph listed for this composition (meV per atom) = 0
- DFT total energy (Ha/atom) = -0.1376

Structure (extended XYZ):
```
4
Lattice="3.6684 0.0000 0.0000 0.0000 3.6684 0.0000 0.0000 0.0000 7.8788" Properties=species:S:1:pos:R:3 pbc="T T T"
Pr 0.0000 0.0000 6.9334
Y 0.0000 0.0000 2.6017
Mg 1.8342 1.8342 4.6701
Zn 1.8342 1.8342 0.9848
```



(10)
Below is a relaxed structure of PrYMgZn, with properties calculated at the PBE level.

- crystal system = cubic
- SG = F-43m
- mass density (g/cm³) = 5.05
- E_form (eV/atom) = -0.19
- magnetic moment (μB/cell) = 0.0
- N(E_F) (states/eV/f.u.) = 4.36
- energy relative to the lowest polymorph listed for this composition (meV per atom) = 30
- DFT total energy (Ha/atom) = -0.1365

Structure (extended XYZ):
```
4
Lattice="5.2964 0.0000 0.0000 2.6482 4.5868 0.0000 2.6482 1.5289 4.3245" Properties=species:S:1:pos:R:3 pbc="T T T"
Pr 2.6482 1.5289 1.0811
Y 7.9447 4.5868 3.2434
Zn 5.2964 3.0579 2.1623
Mg 0.0000 0.0000 0.0000
```